# 1
# MnReN

MnReN after structural relaxation (PBE, Alexandria via LeMat-Bulk).

abc: 3.6382 3.6382 2.8368
angles: 90.00 90.00 120.00
With the nearest neighbours (Å) after each atom.
Space group P-6m2 (No. 187)
Inequivalent atoms, fractional coordinates:
Mn (0.0000, 0.0000, 0.0000) [1 per cell]  6 Re 2.53, 6 N 2.53, 2 Mn 2.84
Re (0.6667, 0.3333, 0.5000) [1 per cell]  3 N 2.10
N (0.3333, 0.6667, 0.5000) [1 per cell]  3 Re 2.10

Distance to the lowest polymorph of the same formula in eV per atom: 0.459

=====

# 2
# MnReN2

MnReN2 after structural relaxation (PBE, Alexandria via LeMat-Bulk).

abc: 5.0884 6.0736 5.3871
angles: 90.00 90.00 90.00
With the nearest neighbours (Å) after each atom.
Space group Pna2_1 (No. 33)
Inequivalent atoms, fractional coordinates:
Mn (0.0725, 0.1137, 0.0000) [4 per cell]  4 N 1.86-1.95
Re (0.1190, 0.6715, 0.1129) [4 per cell]  4 N 1.98-2.06
N (0.0592, 0.5876, 0.4663) [4 per cell]  2 Mn 1.89-1.94, 2 Re 1.98-1.99
N (0.0803, 0.1355, 0.3608) [4 per cell]  2 Mn 1.86-1.95, 2 Re 2.06

Distance to the lowest polymorph of the same formula in eV per atom: 0.000

=====

# 3
# Mn2ReN

Mn2ReN after structural relaxation (PBE, Alexandria via LeMat-Bulk).

abc: 2.7696 2.7696 19.5884
angles: 90.00 90.00 120.00
With the nearest neighbours (Å) after each atom.
Space group R3m (No. 160, hexagonal axes)
Inequivalent atoms, fractional coordinates:
Mn (0.0000, 0.0000, 0.0000) [3 per cell]  3 N 1.97
Mn (0.0000, 0.0000, 0.2186) [3 per cell]  3 N 1.94
Re (0.0000, 0.0000, 0.4447) [3 per cell]  6 Mn 2.64-2.71, 6 Re 2.77
N (0.0000, 0.0000, 0.6077) [3 per cell]  6 Mn 1.94-1.97

Electronic total energy in eV/cell: -119.123

=====

# 4
# Mn2ReN

Mn2ReN after structural relaxation (PBE, Alexandria via LeMat-Bulk).

abc: 2.7650 2.7650 20.9835
angles: 90.00 90.00 120.00
With the nearest neighbours (Å) after each atom.
Space group R-3m (No. 166, hexagonal axes)
Inequivalent atoms, fractional coordinates:
Mn (0.0000, 0.0000, 0.1138) [6 per cell]  3 N 1.94
Re (0.0000, 0.0000, 0.0000) [3 per cell]  2 Mn 2.39
N (0.0000, 0.0000, 0.5000) [3 per cell]  6 Mn 1.94

Electronic total energy in eV/cell: -114.377

=====

# 5
# MnReN2

MnReN2 after structural relaxation (PBE, Alexandria via LeMat-Bulk).

abc: 2.8665 2.8665 19.0446
angles: 90.00 90.00 120.00
With the nearest neighbours (Å) after each atom.
Space group R-3m (No. 166, hexagonal axes)
Inequivalent atoms, fractional coordinates:
Mn (0.0000, 0.0000, 0.0000) [3 per cell]  2 N 1.90
Re (0.0000, 0.0000, 0.5000) [3 per cell]  6 N 2.09
N (0.0000, 0.0000, 0.0998) [6 per cell]  1 Mn 1.90, 3 Re 2.09

Distance to the lowest polymorph of the same formula in eV per atom: 0.233

=====

# 6
# MnReN2

MnReN2 after structural relaxation (PBE, Alexandria via LeMat-Bulk).

abc: 4.5377 4.5377 9.0407
angles: 90.00 90.00 90.00
With the nearest neighbours (Å) after each atom.
Space group I-42d (No. 122)
Inequivalent atoms, fractional coordinates:
Mn (0.0000, 0.0000, 0.0000) [4 per cell]  4 N 1.96
Re (0.0000, 0.0000, 0.5000) [4 per cell]  4 N 1.97
N (0.2478, 0.2500, 0.1250) [8 per cell]  2 Mn 1.96, 2 Re 1.97

Distance to the lowest polymorph of the same formula in eV per atom: 0.068

=====

# 7
# MnReSN2

MnReSN2 after structural relaxation (PBE, Alexandria via LeMat-Bulk).

abc: 3.8075 3.8075 5.2116
angles: 90.00 90.00 90.00
With the nearest neighbours (Å) after each atom.
Space group P4/mmm (No. 123)
Inequivalent atoms, fractional coordinates:
Mn (0.0000, 0.0000, 0.0000) [1 per cell]  4 S 2.69
Re (0.5000, 0.5000, 0.5000) [1 per cell]  4 N 1.90
S (0.5000, 0.5000, 0.0000) [1 per cell]  2 Re 2.61, 4 Mn 2.69
N (0.0000, 0.5000, 0.5000) [2 per cell]  2 Re 1.90

Distance to the lowest polymorph of the same formula in eV per atom: 0.000

=====

# 8
# MnReSN2

MnReSN2 after structural relaxation (PBE, Alexandria via LeMat-Bulk).

abc: 3.7272 3.7272 5.4437
angles: 90.00 90.00 90.00
With the nearest neighbours (Å) after each atom.
Space group P4/mmm (No. 123)
Inequivalent atoms, fractional coordinates:
Mn (0.0000, 0.0000, 0.0000) [1 per cell]  4 S 2.64, 2 Re 2.72
Re (0.0000, 0.0000, 0.5000) [1 per cell]  4 N 1.86
S (0.5000, 0.5000, 0.0000) [1 per cell]  4 Mn 2.64
N (0.0000, 0.5000, 0.5000) [2 per cell]  2 Re 1.86

Distance to the lowest polymorph of the same formula in eV per atom: 0.541

=====

no.,DOS at the Fermi energy (states/eV/cell)
1,2.48
2,8.89
3,7.97
4,11.00
5,4.32
6,11.36
7,2.23
8,7.04